! MgTiTl (PBE, optimized geometry); values from VASP
! **Crystal system**: trigonal
! **DFT total energy**: -3.765 eV/atom
! **Spin magnetization**: 0.00 Bohr magnetons per cell
! **Space group**: P3m1
! **DOS(E_F)**: 2.074 states/eV per cell
! **Formation energy from the elements**: 187 meV per atom
&SYSTEM
  ibrav = 0, nat = 3, ntyp = 3
/
ATOMIC_SPECIES
Mg 24.30 Mg.upf
Tl 204.38 Tl.upf
Ti 47.87 Ti.upf
ATOMIC_POSITIONS crystal
Mg 0.889 0.000 0.000
Tl 0.761 0.667 0.333
Ti 0.349 0.333 0.667
CELL_PARAMETERS angstrom
3.195 0.000 0.000
0.000 4.737 0.000
0.000 -2.368 4.102